## PC3 (PBE)

Data for crystalline PC3 at its relaxed geometry.

The structure belongs to space group Pmm2 (No. 25); the cell edges are 2.662, 3.910 and 5.322 Å and the angles 90.00°, 90.00° and 90.00°. Symmetry generates all atoms from P at (0.000, 0.000, 0.000), C at (0.000, 0.500, 0.905), C at (0.500, 0.000, 0.772) and C at (0.500, 0.500, 0.781).

The formation energy is 1.69 eV/atom. The uncorrected energy is -6.58 eV per atom.